GGA-PBE AcPrZnIr, optimized geometry; formation enthalpy at 0 K = -448.0 meV per atom; magnetization = 0.0 μB/cell; calculated density = 9687 kg/m3; SG = Amm2; VASP energy = -5.2037 eV/atom
1.0
-1.9836 -2.3506 2.9178
2.3162 -3.6758 -1.3867
5.0028 2.3248 2.1939
Zn Pr Ac Ir
1 1 1 1
direct
0.5622 0.5000 0.1243
0.8630 0.5000 0.7260
0.1426 0.0000 0.2852
0.4322 0.0000 0.8644